[1]
TaRh2Cl | GGA-PBE | relaxed

a b c (Å): 9.3830 3.0963 6.4071
angles (deg): 90.00 98.81 90.00
Last column: nearest neighbours and their distance in Å.
Space group Cm (No. 8)
Inequivalent atoms, fractional coordinates:
Ta1 0.0000 0.0000 0.0000  4 Rh 2.49, 2 Cl 2.56
Rh1 0.1954 0.5000 0.1591  2 Ta 2.49, 3 Rh 2.68-2.72
Rh2 0.4274 0.0000 0.2698  2 Ta 2.49, 1 Cl 2.67, 3 Rh 2.68-2.72
Cl1 0.4233 0.0000 0.6855  2 Ta 2.56, 1 Rh 2.67

Properties
E in eV per atom: -7.20



[2]
CdTeAu | GGA-PBE | relaxed

a b c (Å): 4.2003 6.0747 6.6988
angles (deg): 111.09 101.34 95.37
Last column: nearest neighbours and their distance in Å.
Space group P-1 (No. 2)
Inequivalent atoms, fractional coordinates:
Cd1 0.1580 0.2741 0.1595  3 Au 2.79-3.04, 2 Te 3.00-3.05
Te1 0.4772 0.8317 0.1969  2 Au 2.79-2.91, 2 Cd 3.00-3.05
Au1 0.2090 0.7033 0.5176  3 Cd 2.79-3.04, 2 Te 2.79-2.91, 1 Au 2.80

Properties
E in eV per atom: -2.55



[3]
Sr2NiAsRh | GGA-PBE | relaxed

a b c (Å): 5.6581 5.6581 4.5319
angles (deg): 90.00 90.00 90.00
Last column: nearest neighbours and their distance in Å.
Space group P4/mmm (No. 123)
Inequivalent atoms, fractional coordinates:
Sr1 0.0000 0.5000 0.0000  2 Rh 2.83
Ni1 0.0000 0.0000 0.5000  2 Rh 2.27
As1 0.5000 0.5000 0.5000  8 Sr 3.62, 4 Ni 4.00
Rh1 0.0000 0.0000 0.0000  2 Ni 2.27

Properties
Formation energy in eV per atom: 0.086



[4]
La3PrTm2Se6 | GGA-PBE | relaxed

a b c (Å): 7.2438 12.5821 7.3415
angles (deg): 90.00 109.29 90.00
Last column: nearest neighbours and their distance in Å.
Space group C2/m (No. 12)
Inequivalent atoms, fractional coordinates:
La1 0.0000 0.0000 0.0000  6 Se 2.98-3.08
La2 0.0000 0.3401 0.0000  6 Se 3.02-3.08
Pr1 0.0000 0.5000 0.5000  6 Se 2.97-3.00
Tm1 0.0000 0.1670 0.5000  6 Se 2.85-2.87
Se1 0.2284 0.0000 0.7281  2 Tm 2.85, 1 Pr 2.97, 3 La 2.98-3.05
Se2 0.2482 0.1737 0.2654  2 Tm 2.87, 1 Pr 3.00, 3 La 3.02-3.08

Properties
E in eV per atom: -5.99



[5]
Na4AlAu2 | GGA-PBE | relaxed

a b c (Å): 8.6217 9.5109 4.1328
angles (deg): 90.00 90.00 90.00
Last column: nearest neighbours and their distance in Å.
Space group Cmmm (No. 65)
Inequivalent atoms, fractional coordinates:
Na1 0.1812 0.0000 0.0000  5 Na 3.12-3.21, 4 Au 3.20-3.49, 2 Al 3.44
Na2 0.2500 0.2500 0.5000  4 Au 3.08, 4 Na 3.21, 2 Al 3.21
Al1 0.0000 0.5000 0.5000  4 Au 2.64
Au1 0.0000 0.3280 0.0000  2 Al 2.64

Properties
Formation energy in eV per atom: -0.213



[6]
Dy2Pu2Tl7 | GGA-PBE | relaxed

a b c (Å): 11.8693 6.6423 8.6720
angles (deg): 90.00 91.13 90.00
Last column: nearest neighbours and their distance in Å.
Space group C2/m (No. 12)
Inequivalent atoms, fractional coordinates:
Dy1 0.0000 0.2498 0.0000  6 Tl 3.16-3.35, 2 Dy 3.32
Pu1 0.2329 0.0000 0.4998  7 Tl 3.17-3.27, 2 Pu 3.35
Tl1 0.0000 0.5000 0.5000  2 Pu 3.17
Tl2 0.0018 0.0000 0.6895  2 Dy 3.16, 2 Pu 3.21-3.23, 1 Tl 3.29
Tl3 0.2487 0.2505 0.8235  3 Tl 3.06-3.33, 2 Pu 3.27, 2 Dy 3.33-3.35

Properties
Formation energy in eV per atom: 0.147